Entry 1:
Density functional theory data (PBE) for a relaxed Ac2BPt4 crystal.

Lattice parameters (Å, degrees): 5.756 5.756 9.657 90.00 90.00 90.00
Space group I4/mmm (No. 139)
Unique sites:
Ac 0.000 0.500 0.250 [4 per cell]
B 0.000 0.000 0.000 [2 per cell]
Pt 0.242 0.242 0.500 [8 per cell]

Summary:
spin magnetization = 0.00 μB/f.u.


Entry 2:
Density functional theory data (PBE) for a relaxed Ac3BPt7 crystal.

Lattice parameters (Å, degrees): 8.515 8.515 6.742 90.00 90.00 90.00
Space group P4/mbm (No. 127)
Unique sites:
Ac 0.000 0.000 0.000 [2 per cell]
Ac 0.173 0.327 0.500 [4 per cell]
B 0.000 0.500 0.000 [2 per cell]
Pt 0.000 0.000 0.500 [2 per cell]
Pt 0.123 0.623 0.216 [8 per cell]
Pt 0.182 0.318 0.000 [4 per cell]

Summary:
spin magnetization = 0.00 μB/f.u.


Entry 3:
Density functional theory data (PBE) for a relaxed AcBPt crystal.

Lattice parameters (Å, degrees): 4.098 5.665 5.870 74.05 78.32 87.20
Space group P-1 (No. 2)
Unique sites:
Ac 0.178 0.316 0.316 [2 per cell]
B 0.104 0.885 0.102 [2 per cell]
Pt 0.421 0.181 0.802 [2 per cell]

Summary:
spin magnetization = 0.00 μB/f.u.


Entry 4:
Density functional theory data (PBE) for a relaxed Ac2BPt4 crystal.

Lattice parameters (Å, degrees): 5.990 6.398 8.507 90.00 110.35 90.00
Space group P2_1/m (No. 11)
Unique sites:
Ac 0.242 0.250 0.086 [2 per cell]
Ac 0.245 0.750 0.420 [2 per cell]
B 0.349 0.250 0.710 [2 per cell]
Pt 0.183 0.250 0.451 [2 per cell]
Pt 0.216 0.534 0.767 [4 per cell]
Pt 0.349 0.750 0.074 [2 per cell]

Summary:
spin magnetization = 0.00 μB/f.u.


Entry 5:
Density functional theory data (PBE) for a relaxed Ac3B2Pt8 crystal.

Lattice parameters (Å, degrees): 6.2653 6.2653 24.1483 90.00 90.00 120.00
Space group R-3m (No. 166, hexagonal axes)
Unique sites:
Ac 0.0000 0.0000 0.0000 [3 per cell]
Ac 0.0000 0.0000 0.2421 [6 per cell]
B 0.0000 0.0000 0.4543 [6 per cell]
Pt 0.0000 0.0000 0.3676 [6 per cell]
Pt 0.0434 0.5217 0.7887 [18 per cell]

Summary:
spin magnetization = 0.00 μB/f.u.


Entry 6:
Density functional theory data (PBE) for a relaxed AcB2Pt5 crystal.

Lattice parameters (Å, degrees): 4.153 6.620 9.239 90.00 90.00 90.00
Space group Immm (No. 71)
Unique sites:
Ac 0.000 0.000 0.000 [2 per cell]
B 0.000 0.500 0.237 [4 per cell]
Pt 0.000 0.209 0.342 [8 per cell]
Pt 0.000 0.500 0.000 [2 per cell]

Summary:
spin magnetization = 0.00 μB/f.u.


Entry 7:
Density functional theory data (PBE) for a relaxed Ac2B2Pt5 crystal.

Lattice parameters (Å, degrees): 12.549 4.162 7.034 90.00 99.86 90.00
Space group C2/m (No. 12)
Unique sites:
Ac 0.116 0.000 0.308 [4 per cell]
B 0.158 0.500 0.923 [4 per cell]
Pt 0.000 0.500 0.000 [2 per cell]
Pt 0.090 0.500 0.633 [4 per cell]
Pt 0.202 0.000 0.867 [4 per cell]

Summary:
spin magnetization = 0.00 μB/f.u.


Entry 8:
Density functional theory data (PBE) for a relaxed AcB4Pt12 crystal.

Lattice parameters (Å, degrees): 8.082 8.082 8.082 90.00 90.00 90.00
Space group Im-3 (No. 204)
Unique sites:
Ac 0.000 0.000 0.000 [2 per cell]
B 0.250 0.250 0.250 [8 per cell]
Pt 0.000 0.329 0.188 [24 per cell]

Summary:
spin magnetization = 0.00 μB/f.u.


Entry 9:
Density functional theory data (PBE) for a relaxed AcB6Pt12 crystal.

Lattice parameters (Å, degrees): 11.0106 11.0106 8.1248 90.00 90.00 120.00
Space group R-3m (No. 166, hexagonal axes)
Unique sites:
Ac 0.0000 0.0000 0.0000 [3 per cell]
B 0.0884 0.5442 0.3281 [18 per cell]
Pt 0.0000 0.3750 0.5000 [18 per cell]
Pt 0.0948 0.1896 0.3712 [18 per cell]

Summary:
spin magnetization = 0.00 μB/f.u.


Entry 10:
Density functional theory data (PBE) for a relaxed Ac3B2Pt9Rh crystal.

Lattice parameters (Å, degrees): 6.7766 6.7766 7.4140 90.00 90.00 120.00
Space group P-3m1 (No. 164)
Unique sites:
Ac 0.0000 0.0000 0.0000 [1 per cell]
Ac 0.3333 0.6667 0.6561 [2 per cell]
B 0.3333 0.6667 0.1324 [2 per cell]
Pt 0.0000 0.5000 0.0000 [3 per cell]
Pt 0.1856 0.3712 0.3015 [6 per cell]
Rh 0.0000 0.0000 0.5000 [1 per cell]

Summary:
spin magnetization = 1.12 μB/f.u.


| no. | energy of formation (eV/atom) |
| --- | --- |
| 1 | -0.85 |
| 2 | -0.79 |
| 3 | -0.59 |
| 4 | -0.96 |
| 5 | -0.66 |
| 6 | -0.56 |
| 7 | -0.78 |
| 8 | -0.27 |
| 9 | -0.36 |
| 10 | -0.62 |